Entry 1:
## Na2Pd3Pb2 (PBE-GGA)

Data for a geometry-optimized Na2Pd3Pb2 structure.

abc: 7.9865 7.9865 7.9865
angles: 34.66 34.66 34.66
Last column: nearest neighbours and their distance in Å.
Sites, in units of the cell vectors:
Na 0.1364 0.1364 0.1364  3 Na 3.07, 5 Pd 3.07-3.31, 3 Pb 3.13
Na 0.8636 0.8636 0.8636  3 Na 3.07, 5 Pd 3.07-3.31, 3 Pb 3.13
Pd 0.0000 0.0000 0.0000  6 Pd 3.01, 2 Na 3.07, 6 Pb 3.16
Pd 0.2787 0.2787 0.2787  4 Pb 2.77-2.80, 3 Pd 3.01
Pd 0.7213 0.7213 0.7213  4 Pb 2.77-2.80, 3 Pd 3.01
Pb 0.4031 0.4031 0.4031  4 Pd 2.77-2.80
Pb 0.5969 0.5969 0.5969  4 Pd 2.77-2.80

Results
As for the formation energy from the elements: -1.80 eV per formula unit. As for the offset from the most stable computed form: 0.0 meV per atom. Its space group is R-3m (166).


Entry 2:
## Na2PdPb6 (PBE-GGA)

Data for a geometry-optimized Na2PdPb6 structure.

abc: 3.7000 8.9630 8.9630
angles: 120.25 90.00 90.00
Last column: nearest neighbours and their distance in Å.
Sites, in units of the cell vectors:
Na 0.0000 0.1678 0.8322  9 Pb 3.37-3.45, 2 Na 3.70
Na 0.0000 0.8322 0.1678  9 Pb 3.37-3.45, 2 Na 3.70
Pd 0.5000 0.5004 0.5004  9 Pb 2.95-3.16
Pb 0.0000 0.2427 0.4986  2 Pd 2.95
Pb 0.0000 0.4986 0.2427  2 Pd 2.95
Pb 0.0000 0.7586 0.7586  2 Pd 2.96
Pb 0.5000 0.1464 0.1464  1 Pd 3.16, 4 Pb 3.37, 4 Na 3.45
Pb 0.5000 0.5003 0.8504  1 Pd 3.14, 4 Pb 3.37, 4 Na 3.44
Pb 0.5000 0.8504 0.5003  1 Pd 3.14, 4 Pb 3.37, 4 Na 3.44

Results
As for the formation energy from the elements: -1.20 eV per formula unit. Its space group is Amm2 (38).


Entry 3:
## Na2PdPb8 (PBE-GGA)

Data for a geometry-optimized Na2PdPb8 structure.

abc: 4.9081 4.9081 13.1890
angles: 90.00 90.00 90.00
Last column: nearest neighbours and their distance in Å.
Sites, in units of the cell vectors:
Na 0.0000 0.0000 0.1891  12 Pb 3.46-3.50
Na 0.0000 0.0000 0.8109  12 Pb 3.46-3.50
Pd 0.0000 0.0000 0.5000  8 Pb 2.96
Pb 0.0000 0.5000 0.0000  8 Pb 3.47-3.51, 4 Na 3.50
Pb 0.0000 0.5000 0.3742  2 Pd 2.96
Pb 0.0000 0.5000 0.6258  2 Pd 2.96
Pb 0.5000 0.0000 0.0000  8 Pb 3.47-3.51, 4 Na 3.50
Pb 0.5000 0.0000 0.3742  2 Pd 2.96
Pb 0.5000 0.0000 0.6258  2 Pd 2.96
Pb 0.5000 0.5000 0.1900  8 Pb 3.45-3.51, 4 Na 3.47
Pb 0.5000 0.5000 0.8100  8 Pb 3.45-3.51, 4 Na 3.47

Results
As for the formation energy from the elements: -1.36 eV per formula unit. Its space group is P4/mmm (123).


Entry 4:
## Na2PdPb2 (PBE-GGA)

Data for a geometry-optimized Na2PdPb2 structure.

abc: 6.9027 6.9027 7.3668
angles: 105.84 105.84 114.05
Last column: nearest neighbours and their distance in Å.
Sites, in units of the cell vectors:
Na 0.1645 0.7499 0.7475  2 Pd 2.84-3.15
Na 0.2501 0.8355 0.2525  2 Pd 2.84-3.15
Na 0.7499 0.1645 0.7475  2 Pd 2.84-3.15
Na 0.8355 0.2501 0.2525  2 Pd 2.84-3.15
Pd 0.3813 0.6187 0.5000  1 Pd 2.75, 2 Na 2.84, 4 Pb 2.90-2.92
Pd 0.6187 0.3813 0.5000  1 Pd 2.75, 2 Na 2.84, 4 Pb 2.90-2.92
Pb 0.2512 0.2512 0.6441  2 Pd 2.92, 1 Pb 3.19
Pb 0.2574 0.2574 0.1038  2 Pd 2.90, 1 Pb 3.19
Pb 0.7426 0.7426 0.8962  2 Pd 2.90, 1 Pb 3.19
Pb 0.7488 0.7488 0.3559  2 Pd 2.92, 1 Pb 3.19

Results
As for the formation energy from the elements: -0.60 eV per formula unit. As for the offset from the most stable computed form: 17.5 meV per atom. Its space group is C2/m (12).


Entry 5:
## NaPd2Pb3 (PBE-GGA)

Data for a geometry-optimized NaPd2Pb3 structure.

abc: 7.6692 7.6692 7.6692
angles: 115.65 91.80 122.39
Last column: nearest neighbours and their distance in Å.
Sites, in units of the cell vectors:
Na 0.4128 0.1628 0.2500  4 Pd 3.14-3.38
Na 0.5872 0.8372 0.7500  4 Pd 3.14-3.38
Pd 0.1408 0.1842 0.9566  6 Pb 2.84-3.04, 1 Pd 2.88, 1 Na 3.14
Pd 0.2724 0.8158 0.4566  6 Pb 2.84-3.04, 1 Pd 2.88, 1 Na 3.14
Pd 0.7276 0.1842 0.5434  6 Pb 2.84-3.04, 1 Pd 2.88, 1 Na 3.14
Pd 0.8592 0.8158 0.0434  6 Pb 2.84-3.04, 1 Pd 2.88, 1 Na 3.14
Pb 0.0000 0.0000 0.5000  4 Pd 3.04, 4 Pb 3.27
Pb 0.0000 0.3001 0.3001  4 Pd 2.84-2.89
Pb 0.0000 0.5000 0.0000  4 Pd 3.04, 4 Pb 3.27
Pb 0.0000 0.6999 0.6999  4 Pd 2.84-2.89
Pb 0.5000 0.3001 0.8001  4 Pd 2.84-2.89
Pb 0.5000 0.6999 0.1999  4 Pd 2.84-2.89

Results
As for the formation energy from the elements: -0.81 eV per formula unit. As for the offset from the most stable computed form: 78.1 meV per atom. Its space group is Imma (74).


Entry 6:
## NaPdPb (PBE-GGA)

Data for a geometry-optimized NaPdPb structure.

abc: 4.7096 4.7096 4.7096
angles: 60.00 60.00 60.00
Last column: nearest neighbours and their distance in Å.
Sites, in units of the cell vectors:
Na 0.0000 0.0000 0.0000  4 Pd 2.88
Pd 0.7500 0.7500 0.7500  4 Na 2.88, 4 Pb 2.88
Pb 0.5000 0.5000 0.5000  4 Pd 2.88

Results
As for the formation energy from the elements: -0.42 eV per formula unit. Its space group is F-43m (216).


Entry 7:
## NaPdPb (PBE-GGA)

Data for a geometry-optimized NaPdPb structure.

abc: 4.8061 4.8061 6.7061
angles: 90.00 90.00 90.00
Last column: nearest neighbours and their distance in Å.
Sites, in units of the cell vectors:
Na 0.2500 0.2500 0.1982  4 Pd 3.14, 6 Pb 3.29-3.46
Na 0.7500 0.7500 0.8018  4 Pd 3.14, 6 Pb 3.29-3.46
Pd 0.2500 0.7500 0.5000  4 Pb 2.78
Pd 0.7500 0.2500 0.5000  4 Pb 2.78
Pb 0.2500 0.2500 0.7078  4 Pd 2.78
Pb 0.7500 0.7500 0.2922  4 Pd 2.78

Results
As for the formation energy from the elements: -0.77 eV per formula unit. Its space group is P4/nmm (129).


Entry 8:
## Na3Pd3Pb2 (PBE-GGA)

Data for a geometry-optimized Na3Pd3Pb2 structure.

abc: 7.5280 7.5280 7.5280
angles: 43.41 43.41 43.41
Last column: nearest neighbours and their distance in Å.
Sites, in units of the cell vectors:
Na 0.0000 0.0000 0.0000  6 Pb 3.40, 6 Pd 3.76, 6 Na 3.79
Na 0.4312 0.4312 0.4312  1 Na 2.81, 1 Pb 3.09, 6 Pd 3.12
Na 0.5688 0.5688 0.5688  1 Na 2.81, 1 Pb 3.09, 6 Pd 3.12
Pd 0.0000 0.0000 0.5000  4 Pd 2.78, 2 Pb 2.81
Pd 0.0000 0.5000 0.0000  4 Pd 2.78, 2 Pb 2.81
Pd 0.5000 0.0000 0.0000  4 Pd 2.78, 2 Pb 2.81
Pb 0.2797 0.2797 0.2797  3 Pd 2.81, 1 Na 3.09
Pb 0.7203 0.7203 0.7203  3 Pd 2.81, 1 Na 3.09

Results
As for the formation energy from the elements: -1.47 eV per formula unit. As for the offset from the most stable computed form: 9.0 meV per atom. Its space group is R-3m (166).


The calculation returns the following VASP energy values, one per record and in order: -27.43; -31.28; -38.85; -31.69; -47.28; -10.64; -21.99; -28.42 eV per cell.